Record 1
{"formula": "CdReP2", "functional": "PBE", "state": "optimized geometry", "dft_energy_ev_per_atom": -5.2670, "total_magnetization_mub_per_fu": 0.00, "delta_e_f_mev_per_atom": 779, "vol_a3_per_cell": 63.4, "lattice": [[-1.882, 1.882, 4.471], [1.882, -1.882, 4.471], [1.882, 1.882, -4.471]], "species": ["Cd", "Re", "P", "P"], "fractional_positions": [[0.000, 0.000, 0.000], [0.750, 0.250, 0.500], [0.250, 0.750, 0.500], [0.500, 0.500, 0.000]]}



Record 2
{"formula": "ZnFe2Cl", "functional": "PBE", "state": "optimized geometry", "dft_energy_ev_per_atom": -4.4751, "total_magnetization_mub_per_fu": 5.30, "formation_energy_uncorrected_mev_per_atom": 536.4, "e_above_lowest_polymorph_ev_per_fu": 1.88, "vol_a3_per_cell": 57.7, "lattice": [[-1.818, 1.818, 4.365], [1.818, -1.818, 4.365], [1.818, 1.818, -4.365]], "species": ["Zn", "Fe", "Fe", "Cl"], "fractional_positions": [[0.000, 0.000, 0.000], [0.500, 0.500, 0.000], [0.750, 0.250, 0.500], [0.250, 0.750, 0.500]]}